The following is a DFT calculation (PBE) of crystalline Ti5Ge5Ru at its relaxed geometry.

Computed properties:
**Total DFT energy (no corrections)**: -73.4 eV per formula unit
**Volume**: 17.7 A^3/atom
**Formation enthalpy at 0 K**: -0.141 eV/atom

Lattice parameters (Å, degrees): 10.018 5.136 8.377 90.00 115.62 90.00
Space group C2/m (No. 12)
Unique sites:
Ti1 0.000 0.000 0.000 x2
Ti2 0.159 0.500 0.319 x4
Ti3 0.170 0.500 0.842 x4
Ge1 0.000 0.500 0.500 x2
Ge2 0.160 0.000 0.827 x4
Ge3 0.167 0.000 0.339 x4
Ru1 0.000 0.000 0.500 x2